Run P
Here is a geometry-optimized InSiSe2Br structure from Alexandria. Energies are from PBE. Values from VASP.

The structure in Quantum ESPRESSO input format:
```
&SYSTEM
  ibrav = 0, nat = 5, ntyp = 4
/
ATOMIC_SPECIES
In 114.82 In.upf
Si 28.09 Si.upf
Se 78.96 Se.upf
Br 79.90 Br.upf
CELL_PARAMETERS angstrom
4.886 0.000 0.000
0.000 4.886 0.000
0.000 0.000 5.413
ATOMIC_POSITIONS crystal
In 0.000 0.000 0.000
Si 0.500 0.500 0.500
Se 0.000 0.500 0.500
Se 0.500 0.000 0.500
Br 0.500 0.500 0.000
```

Results
- M_tot (Bohr magnetons per cell) = 0.00


Run Q
Here is a geometry-optimized InSiSe2Br structure from Alexandria. Energies are from PBE. Values from VASP.

The structure in Quantum ESPRESSO input format:
```
&SYSTEM
  ibrav = 0, nat = 5, ntyp = 4
/
ATOMIC_SPECIES
In 114.82 In.upf
Si 28.09 Si.upf
Se 78.96 Se.upf
Br 79.90 Br.upf
CELL_PARAMETERS angstrom
5.307 0.000 0.000
0.000 5.307 0.000
0.000 0.000 5.251
ATOMIC_POSITIONS crystal
In 0.000 0.000 0.000
Si 0.500 0.500 0.500
Se 0.000 0.500 0.000
Se 0.500 0.000 0.000
Br 0.000 0.000 0.500
```

Results
- M_tot (Bohr magnetons per cell) = 0.00


The winner here is run P, beating the second structure by 562 meV per atom.


Run P
Here is a geometry-optimized InSiSeBr2 structure from Alexandria. Energies are from PBE. Values from VASP.

The structure in Quantum ESPRESSO input format:
```
&SYSTEM
  ibrav = 0, nat = 5, ntyp = 4
/
ATOMIC_SPECIES
In 114.82 In.upf
Si 28.09 Si.upf
Se 78.96 Se.upf
Br 79.90 Br.upf
CELL_PARAMETERS angstrom
5.304 0.000 0.000
0.000 5.304 0.000
0.000 0.000 5.003
ATOMIC_POSITIONS crystal
In 0.000 0.000 0.000
Si 0.500 0.500 0.500
Se 0.500 0.500 0.000
Br 0.000 0.500 0.500
Br 0.500 0.000 0.500
```

Results
- M_tot (Bohr magnetons per cell) = 0.00


Run Q
Here is a geometry-optimized InSiSeBr2 structure from Alexandria. Energies are from PBE. Values from VASP.

The structure in Quantum ESPRESSO input format:
```
&SYSTEM
  ibrav = 0, nat = 5, ntyp = 4
/
ATOMIC_SPECIES
In 114.82 In.upf
Si 28.09 Si.upf
Se 78.96 Se.upf
Br 79.90 Br.upf
CELL_PARAMETERS angstrom
5.407 0.000 0.000
0.000 5.407 0.000
0.000 0.000 5.417
ATOMIC_POSITIONS crystal
In 0.000 0.000 0.000
Si 0.500 0.500 0.500
Se 0.000 0.000 0.500
Br 0.000 0.500 0.000
Br 0.500 0.000 0.000
```

Results
- M_tot (Bohr magnetons per cell) = 0.70


The winner here is run P, beating the second structure by 526 meV per atom.


Run P
Here is a geometry-optimized InWSeBr2 structure from Alexandria. Energies are from PBE. Values from VASP.

The structure in Quantum ESPRESSO input format:
```
&SYSTEM
  ibrav = 0, nat = 5, ntyp = 4
/
ATOMIC_SPECIES
In 114.82 In.upf
W 183.84 W.upf
Se 78.96 Se.upf
Br 79.90 Br.upf
CELL_PARAMETERS angstrom
5.392 0.000 0.000
0.000 5.392 0.000
0.000 0.000 4.952
ATOMIC_POSITIONS crystal
In 0.000 0.000 0.000
W 0.500 0.500 0.500
Se 0.500 0.500 0.000
Br 0.000 0.500 0.500
Br 0.500 0.000 0.500
```

Results
- M_tot (Bohr magnetons per cell) = 1.78


Run Q
Here is a geometry-optimized InWSeBr2 structure from Alexandria. Energies are from PBE. Values from VASP.

The structure in Quantum ESPRESSO input format:
```
&SYSTEM
  ibrav = 0, nat = 5, ntyp = 4
/
ATOMIC_SPECIES
In 114.82 In.upf
W 183.84 W.upf
Se 78.96 Se.upf
Br 79.90 Br.upf
CELL_PARAMETERS angstrom
5.231 0.000 0.000
0.000 5.231 0.000
0.000 0.000 5.628
ATOMIC_POSITIONS crystal
In 0.000 0.000 0.000
W 0.500 0.500 0.500
Se 0.000 0.000 0.500
Br 0.000 0.500 0.000
Br 0.500 0.000 0.000
```

Results
- M_tot (Bohr magnetons per cell) = 4.72


The winner here is run P, beating the second structure by 974 meV per atom.


Run P
Here is a geometry-optimized YInSe2Br structure from Alexandria. Energies are from PBE. Values from VASP.

The structure in Quantum ESPRESSO input format:
```
&SYSTEM
  ibrav = 0, nat = 5, ntyp = 4
/
ATOMIC_SPECIES
Y 88.91 Y.upf
In 114.82 In.upf
Se 78.96 Se.upf
Br 79.90 Br.upf
CELL_PARAMETERS angstrom
5.501 0.000 0.000
0.000 5.501 0.000
0.000 0.000 5.680
ATOMIC_POSITIONS crystal
Y 0.000 0.000 0.000
In 0.500 0.500 0.500
Se 0.000 0.500 0.000
Se 0.500 0.000 0.000
Br 0.000 0.000 0.500
```

Results
- M_tot (Bohr magnetons per cell) = 0.38


Run Q
Here is a geometry-optimized YInSe2Br structure from Alexandria. Energies are from PBE. Values from VASP.

The structure in Quantum ESPRESSO input format:
```
&SYSTEM
  ibrav = 0, nat = 5, ntyp = 4
/
ATOMIC_SPECIES
Y 88.91 Y.upf
In 114.82 In.upf
Se 78.96 Se.upf
Br 79.90 Br.upf
CELL_PARAMETERS angstrom
5.300 0.000 0.000
0.000 5.300 0.000
0.000 0.000 5.229
ATOMIC_POSITIONS crystal
Y 0.000 0.000 0.000
In 0.500 0.500 0.500
Se 0.000 0.500 0.500
Se 0.500 0.000 0.500
Br 0.500 0.500 0.000
```

Results
- M_tot (Bohr magnetons per cell) = 0.32


The winner here is run P, beating the second structure by 518 meV per atom.


Run P
Here is a geometry-optimized ZrInSeBr2 structure from Alexandria. Energies are from PBE. Values from VASP.

The structure in Quantum ESPRESSO input format:
```
&SYSTEM
  ibrav = 0, nat = 5, ntyp = 4
/
ATOMIC_SPECIES
Zr 91.22 Zr.upf
In 114.82 In.upf
Se 78.96 Se.upf
Br 79.90 Br.upf
CELL_PARAMETERS angstrom
5.407 0.000 0.000
0.000 5.407 0.000
0.000 0.000 5.264
ATOMIC_POSITIONS crystal
Zr 0.000 0.000 0.000
In 0.500 0.500 0.500
Se 0.000 0.000 0.500
Br 0.000 0.500 0.000
Br 0.500 0.000 0.000
```

Results
- M_tot (Bohr magnetons per cell) = 0.00


Run Q
Here is a geometry-optimized ZrInSeBr2 structure from Alexandria. Energies are from PBE. Values from VASP.

The structure in Quantum ESPRESSO input format:
```
&SYSTEM
  ibrav = 0, nat = 5, ntyp = 4
/
ATOMIC_SPECIES
Zr 91.22 Zr.upf
In 114.82 In.upf
Se 78.96 Se.upf
Br 79.90 Br.upf
CELL_PARAMETERS angstrom
5.327 0.000 0.000
0.000 5.327 0.000
0.000 0.000 5.378
ATOMIC_POSITIONS crystal
Zr 0.000 0.000 0.000
In 0.500 0.500 0.500
Se 0.500 0.500 0.000
Br 0.000 0.500 0.500
Br 0.500 0.000 0.500
```

Results
- M_tot (Bohr magnetons per cell) = 2.39


The winner here is run P, beating the second structure by 1025 meV per atom.